a | A relaxed structure of ZnCr2As2. Source: Alexandria via LeMat-Bulk, functional PBE-GGA.

Unit cell a=6.814 b=6.814 c=3.110 alpha=90.00 beta=90.00 gamma=90.00
Each line ends with the local moment (μB).
Fractional positions:
Cr (0.359, 0.859, 0.000)  1.07
Cr (0.859, 0.641, 0.000)  1.07
Cr (0.641, 0.141, 0.000)  1.07
Cr (0.141, 0.359, 0.000)  1.07
As (0.153, 0.653, 0.500)  -0.08
As (0.653, 0.847, 0.500)  -0.08
As (0.847, 0.347, 0.500)  -0.08
As (0.347, 0.153, 0.500)  -0.08
Zn (0.000, 0.000, 0.000)  -0.03
Zn (0.500, 0.500, 0.000)  -0.03

---

b | A relaxed structure of ZnCr2As2. Source: Alexandria via LeMat-Bulk, functional PBE-GGA.

Unit cell a=7.099 b=7.099 c=3.037 alpha=90.00 beta=90.00 gamma=90.00
Each line ends with the local moment (μB).
Fractional positions:
Cr (0.139, 0.639, 0.500)  2.15
Cr (0.639, 0.861, 0.500)  2.15
Cr (0.861, 0.361, 0.500)  2.15
Cr (0.361, 0.139, 0.500)  2.15
As (0.347, 0.847, 0.000)  -0.12
As (0.847, 0.653, 0.000)  -0.12
As (0.653, 0.153, 0.000)  -0.12
As (0.153, 0.347, 0.000)  -0.12
Zn (0.000, 0.000, 0.000)  -0.02
Zn (0.500, 0.500, 0.000)  -0.02

---

Stability summary - winner: a; margin: 0.077 eV/atom.

---

a | A relaxed structure of Zn3CrAs. Source: Alexandria via LeMat-Bulk, functional PBE-GGA.

Unit cell a=4.877 b=4.877 c=4.877 alpha=90.00 beta=90.00 gamma=90.00
Each line ends with the local moment (μB).
Fractional positions:
Cr (0.500, 0.500, 0.500)  4.13
As (0.000, 0.000, 0.000)  0.03
Zn (0.000, 0.500, 0.000)  -0.02
Zn (0.000, 0.000, 0.500)  -0.03
Zn (0.500, 0.000, 0.000)  0.00

---

b | A relaxed structure of Zn3CrAs. Source: Alexandria via LeMat-Bulk, functional PBE-GGA.

Unit cell a=4.674 b=4.674 c=4.674 alpha=90.00 beta=90.00 gamma=90.00
Fractional positions:
Cr (0.000, 0.000, 0.000)
As (0.500, 0.500, 0.500)
Zn (0.000, 0.500, 0.000)
Zn (0.000, 0.000, 0.500)
Zn (0.500, 0.000, 0.000)

---

Stability summary - winner: a; margin: 0.297 eV/atom.

---

a | A relaxed structure of ZrCrAs2. Source: Alexandria via LeMat-Bulk, functional PBE-GGA.

Unit cell a=4.557 b=4.557 c=4.557 alpha=60.00 beta=60.00 gamma=60.00
Fractional positions:
As (0.000, 0.000, 0.000)
As (0.250, 0.250, 0.250)
Cr (0.500, 0.500, 0.500)
Zr (0.750, 0.750, 0.750)

---

b | A relaxed structure of ZrCrAs2. Source: Alexandria via LeMat-Bulk, functional PBE-GGA.

Unit cell a=3.770 b=3.770 c=5.419 alpha=90.00 beta=90.00 gamma=90.00
Each line ends with the local moment (μB).
Fractional positions:
As (0.000, 0.000, 0.904)  -0.05
As (0.500, 0.500, 0.345)  -0.10
Cr (0.000, 0.000, 0.418)  3.25
Zr (0.500, 0.500, 0.833)  0.02

---

c | A relaxed structure of ZrCrAs2. Source: Alexandria via LeMat-Bulk, functional PBE-GGA.

Unit cell a=4.778 b=4.778 c=4.778 alpha=131.44 beta=114.64 gamma=85.48
Each line ends with the local moment (μB).
Fractional positions:
As (0.972, 0.972, 0.000)  -0.05
As (0.528, 0.528, 0.000)  -0.05
Cr (0.750, 0.250, 0.500)  2.74
Zr (0.250, 0.750, 0.500)  -0.23

---

Stability summary - winner: b; margin: 0.165 eV/atom.

---

a | A relaxed structure of ZrCrAs2. Source: Alexandria via LeMat-Bulk, functional PBE-GGA.

Unit cell a=4.226 b=4.855 c=3.465 alpha=90.00 beta=90.00 gamma=90.00
Each line ends with the local moment (μB).
Fractional positions:
As (0.000, 0.000, 0.000)  -0.07
As (0.500, 0.500, 0.000)  -0.05
Cr (0.500, 0.000, 0.500)  3.22
Zr (0.000, 0.500, 0.500)  0.00

---

b | A relaxed structure of ZrCrAs2. Source: Alexandria via LeMat-Bulk, functional PBE-GGA.

Unit cell a=5.646 b=5.646 c=5.646 alpha=140.37 beta=140.37 gamma=57.29
Each line ends with the local moment (μB).
Fractional positions:
As (0.000, 0.000, 0.000)  -0.07
As (0.250, 0.750, 0.500)  -0.04
Cr (0.500, 0.500, 0.000)  3.46
Zr (0.750, 0.250, 0.500)  0.15

---

Stability summary - winner: a; margin: 0.029 eV/atom.

---

a | A relaxed structure of ZrCrAs2. Source: Alexandria via LeMat-Bulk, functional PBE-GGA.

Unit cell a=3.142 b=3.142 c=8.004 alpha=90.00 beta=90.00 gamma=90.00
Each line ends with the local moment (μB).
Fractional positions:
As (0.000, 0.000, 0.956)  0.03
As (0.500, 0.500, 0.344)  -0.09
Cr (0.000, 0.000, 0.482)  1.58
Zr (0.500, 0.500, 0.717)  -0.18

---

b | A relaxed structure of ZrCrAs2. Source: Alexandria via LeMat-Bulk, functional PBE-GGA.

Unit cell a=8.396 b=8.396 c=8.396 alpha=21.95 beta=21.95 gamma=21.95
Fractional positions:
As (0.001, 0.001, 0.001)
As (0.237, 0.237, 0.237)
Cr (0.506, 0.506, 0.506)
Zr (0.756, 0.756, 0.756)

---

c | A relaxed structure of ZrCrAs2. Source: Alexandria via LeMat-Bulk, functional PBE-GGA.

Unit cell a=3.111 b=3.111 c=6.676 alpha=90.00 beta=90.00 gamma=90.00
Each line ends with the local moment (μB).
Fractional positions:
As (0.000, 0.000, 0.036)  -0.04
As (0.000, 0.000, 0.464)  -0.04
Cr (0.500, 0.500, 0.250)  0.66
Zr (0.500, 0.500, 0.750)  0.03

---

Stability summary - winner: c; margin: 0.124 eV/atom.

---

a | A relaxed structure of ZrCrAs2. Source: Alexandria via LeMat-Bulk, functional PBE-GGA.

Unit cell a=3.827 b=3.827 c=6.227 alpha=72.02 beta=72.02 gamma=59.99
Each line ends with the local moment (μB).
Fractional positions:
As (0.010, 0.010, 0.971)  -0.07
As (0.490, 0.490, 0.529)  -0.07
Cr (0.750, 0.750, 0.750)  2.79
Zr (0.250, 0.250, 0.250)  -0.19

---

b | A relaxed structure of ZrCrAs2. Source: Alexandria via LeMat-Bulk, functional PBE-GGA.

Unit cell a=3.741 b=3.459 c=5.864 alpha=89.65 beta=90.00 gamma=90.00
Each line ends with the local moment (μB).
Fractional positions:
As (0.000, 0.247, 0.978)  -0.05
As (0.000, 0.253, 0.522)  -0.05
Cr (0.500, 0.250, 0.250)  3.02
Zr (0.500, 0.750, 0.750)  -0.13

---

Stability summary - winner: a; margin: 0.197 eV/atom.

---

a | A relaxed structure of ZrCrAs2. Source: Alexandria via LeMat-Bulk, functional PBE-GGA.

Unit cell a=5.955 b=5.955 c=7.197 alpha=65.56 beta=65.56 gamma=90.00
Each line ends with the local moment (μB).
Fractional positions:
Cr (0.500, 0.500, 0.000)  3.34
Cr (0.250, 0.750, 0.500)  3.35
As (0.605, 0.125, 0.250)  -0.11
As (0.145, 0.625, 0.250)  -0.10
As (0.375, 0.395, 0.750)  -0.10
As (0.875, 0.855, 0.750)  -0.09
Zr (0.000, 0.000, 0.000)  0.34
Zr (0.750, 0.250, 0.500)  0.34

---

b | A relaxed structure of ZrCrAs2. Source: Alexandria via LeMat-Bulk, functional PBE-GGA.

Unit cell a=4.529 b=4.529 c=4.529 alpha=60.00 beta=60.00 gamma=60.00
Fractional positions:
Cr (0.000, 0.000, 0.000)
As (0.250, 0.250, 0.250)
As (0.750, 0.750, 0.750)
Zr (0.500, 0.500, 0.500)

---

Stability summary - winner: b; margin: 0.159 eV/atom.

---

a | A relaxed structure of CsAs. Source: Alexandria via LeMat-Bulk, functional PBE-GGA.

Unit cell a=8.382 b=8.382 c=8.382 alpha=90.00 beta=90.00 gamma=90.00
Each line ends with the local moment (μB).
Fractional positions:
Cs (0.000, 0.000, 0.000)  0.05
Cs (0.000, 0.500, 0.500)  0.05
Cs (0.500, 0.000, 0.500)  0.05
Cs (0.500, 0.500, 0.000)  0.05
As (0.250, 0.250, 0.250)  0.78
As (0.250, 0.750, 0.750)  0.78
As (0.750, 0.250, 0.750)  0.78
As (0.750, 0.750, 0.250)  0.78

---

b | A relaxed structure of CsAs. Source: Alexandria via LeMat-Bulk, functional PBE-GGA.

Unit cell a=13.223 b=13.223 c=4.526 alpha=90.00 beta=90.00 gamma=90.00
Fractional positions:
Cs (0.679, 0.325, 0.500)
Cs (0.321, 0.675, 0.500)
Cs (0.675, 0.679, 0.500)
Cs (0.325, 0.321, 0.500)
Cs (0.999, 0.718, 0.000)
Cs (0.001, 0.282, 0.000)
Cs (0.282, 0.999, 0.000)
Cs (0.718, 0.001, 0.000)
As (0.909, 0.537, 0.500)
As (0.091, 0.463, 0.500)
As (0.463, 0.909, 0.500)
As (0.537, 0.091, 0.500)
As (0.827, 0.482, 0.000)
As (0.173, 0.518, 0.000)
As (0.518, 0.827, 0.000)
As (0.482, 0.173, 0.000)

---

Stability summary - winner: b; margin: 0.825 eV/atom.

---

a | A relaxed structure of CsAs. Source: Alexandria via LeMat-Bulk, functional PBE-GGA.

Unit cell a=13.466 b=13.466 c=4.497 alpha=90.00 beta=90.00 gamma=90.00
Fractional positions:
Cs (0.500, 0.253, 0.000)
Cs (0.500, 0.747, 0.000)
Cs (0.747, 0.500, 0.000)
Cs (0.253, 0.500, 0.000)
Cs (0.000, 0.753, 0.500)
Cs (0.000, 0.247, 0.500)
Cs (0.247, 0.000, 0.500)
Cs (0.753, 0.000, 0.500)
As (0.218, 0.781, 0.000)
As (0.782, 0.219, 0.000)
As (0.219, 0.218, 0.000)
As (0.781, 0.782, 0.000)
As (0.718, 0.281, 0.500)
As (0.282, 0.719, 0.500)
As (0.719, 0.718, 0.500)
As (0.281, 0.282, 0.500)

---

b | A relaxed structure of CsAs. Source: Alexandria via LeMat-Bulk, functional PBE-GGA.

Unit cell a=5.734 b=4.252 c=7.094 alpha=90.00 beta=113.86 gamma=90.00
Fractional positions:
Cs (0.359, 0.250, 0.720)
Cs (0.641, 0.750, 0.280)
As (0.944, 0.750, 0.889)
As (0.056, 0.250, 0.111)

---

Stability summary - winner: b; margin: 0.054 eV/atom.

---

a | A relaxed structure of CsAs. Source: Alexandria via LeMat-Bulk, functional PBE-GGA.

Unit cell a=10.562 b=10.562 c=10.562 alpha=90.00 beta=90.00 gamma=90.00
Each line ends with the local moment (μB).
Fractional positions:
Cs (0.287, 0.287, 0.287)  0.02
Cs (0.287, 0.713, 0.713)  0.02
Cs (0.713, 0.287, 0.713)  0.02
Cs (0.713, 0.713, 0.287)  0.02
Cs (0.787, 0.787, 0.787)  0.02
Cs (0.787, 0.213, 0.213)  0.02
Cs (0.213, 0.787, 0.213)  0.02
Cs (0.213, 0.213, 0.787)  0.02
As (0.088, 0.088, 0.088)  0.17
As (0.088, 0.912, 0.912)  0.17
As (0.912, 0.088, 0.912)  0.17
As (0.912, 0.912, 0.088)  0.17
As (0.588, 0.588, 0.588)  0.17
As (0.588, 0.412, 0.412)  0.17
As (0.412, 0.588, 0.412)  0.17
As (0.412, 0.412, 0.588)  0.17

---

b | A relaxed structure of CsAs. Source: Alexandria via LeMat-Bulk, functional PBE-GGA.

Unit cell a=14.760 b=5.722 c=7.238 alpha=90.00 beta=90.00 gamma=90.00
Fractional positions:
Cs (0.295, 0.000, 0.667)
Cs (0.705, 0.000, 0.667)
Cs (0.795, 0.500, 0.167)
Cs (0.205, 0.500, 0.167)
Cs (0.000, 0.000, 0.851)
Cs (0.500, 0.500, 0.351)
As (0.365, 0.000, 0.163)
As (0.635, 0.000, 0.163)
As (0.865, 0.500, 0.663)
As (0.135, 0.500, 0.663)
As (0.000, 0.500, 0.490)
As (0.500, 0.000, 0.990)

---

c | A relaxed structure of CsAs. Source: Alexandria via LeMat-Bulk, functional PBE-GGA.

Unit cell a=23.648 b=6.251 c=3.807 alpha=90.00 beta=90.00 gamma=90.00
Each line ends with the local moment (μB).
Fractional positions:
Cs (0.850, 0.392, 0.000)  0.00
Cs (0.350, 0.608, 0.500)  0.00
Cs (0.650, 0.608, 0.500)  0.00
Cs (0.150, 0.392, 0.000)  0.00
Cs (0.000, 0.887, 0.500)  0.01
Cs (0.500, 0.113, 0.000)  0.01
As (0.767, 0.891, 0.000)  0.00
As (0.267, 0.109, 0.500)  0.00
As (0.733, 0.109, 0.500)  0.00
As (0.233, 0.891, 0.000)  0.00
As (0.000, 0.386, 0.000)  0.10
As (0.500, 0.614, 0.500)  0.10

---

d | A relaxed structure of CsAs. Source: Alexandria via LeMat-Bulk, functional PBE-GGA.

Unit cell a=7.785 b=7.785 c=7.178 alpha=90.00 beta=90.00 gamma=90.00
Each line ends with the local moment (μB).
Fractional positions:
Cs (0.313, 0.687, 0.000)  0.03
Cs (0.813, 0.813, 0.500)  0.03
Cs (0.187, 0.187, 0.500)  0.03
Cs (0.687, 0.313, 0.000)  0.03
As (0.894, 0.894, 0.000)  0.31
As (0.394, 0.606, 0.500)  0.31
As (0.606, 0.394, 0.500)  0.31
As (0.106, 0.106, 0.000)  0.31

---

Stability summary - winner: b; margin: 0.123 eV/atom.